Run P
## Dy2HgBi (PBE)

Data for a geometry-optimized Dy2HgBi structure.

a b c (Å): 4.639 4.190 12.245
angles (deg): 99.85 90.00 90.00
Fractional positions:
1 Dy 0.750 0.678 0.355
2 Dy 0.250 0.322 0.645
3 Dy 0.750 0.938 0.875
4 Dy 0.250 0.062 0.125
5 Hg 0.250 0.456 0.912
6 Hg 0.750 0.544 0.088
7 Bi 0.250 0.191 0.382
8 Bi 0.750 0.809 0.618


Run Q
## Dy2HgBi (PBE)

Data for a geometry-optimized Dy2HgBi structure.

a b c (Å): 4.314 4.314 7.926
angles (deg): 74.21 74.21 60.00
Fractional positions:
1 Dy 0.250 0.250 0.251
2 Dy 0.750 0.750 0.749
3 Bi 0.500 0.500 0.500
4 Hg 0.000 0.000 0.000


The relative energies come out as run P 0; run Q 83, with values in meV/atom.


Run P
## DyHgBi2 (PBE)

Data for a geometry-optimized DyHgBi2 structure.

a b c (Å): 4.848 4.827 4.827
angles (deg): 90.00 90.00 90.00
Fractional positions:
1 Dy 0.500 0.500 0.500
2 Bi 0.000 0.000 0.500
3 Bi 0.000 0.500 0.000
4 Hg 0.500 0.000 0.000


Run Q
## DyHgBi2 (PBE)

Data for a geometry-optimized DyHgBi2 structure.

a b c (Å): 4.533 4.533 9.526
angles (deg): 76.23 76.23 60.00
Fractional positions:
1 Dy 0.500 0.500 0.500
2 Bi 0.103 0.103 0.691
3 Bi 0.897 0.897 0.309
4 Hg 0.000 0.000 0.000


Run R
## DyHgBi2 (PBE)

Data for a geometry-optimized DyHgBi2 structure.

a b c (Å): 4.240 4.240 6.585
angles (deg): 90.00 90.00 90.00
Fractional positions:
1 Dy 0.500 0.500 0.000
2 Bi 0.000 0.000 0.768
3 Bi 0.000 0.000 0.232
4 Hg 0.500 0.500 0.500


The relative energies come out as run P 5; run Q 283; run R 0, with values in meV/atom.


Run P
## DyInHgBi (PBE)

Data for a geometry-optimized DyInHgBi structure.

a b c (Å): 5.410 5.410 5.410
angles (deg): 60.00 60.00 60.00
Fractional positions:
1 Dy 0.750 0.750 0.750
2 In 0.250 0.250 0.250
3 Bi 0.500 0.500 0.500
4 Hg 0.000 0.000 0.000


Run Q
## DyInHgBi (PBE)

Data for a geometry-optimized DyInHgBi structure.

a b c (Å): 4.508 4.633 5.089
angles (deg): 90.00 90.00 90.00
Fractional positions:
1 Dy 0.000 0.500 0.500
2 In 0.000 0.000 0.000
3 Hg 0.500 0.500 0.000
4 Bi 0.500 0.000 0.500


The relative energies come out as run P 128; run Q 0, with values in meV/atom.


Run P
## DyHo3Bi3 (PBE)

Data for a geometry-optimized DyHo3Bi3 structure.

a b c (Å): 9.356 9.356 9.356
angles (deg): 90.00 90.00 90.00
Fractional positions:
1 Dy 0.073 0.573 0.927
2 Dy 0.927 0.073 0.573
3 Dy 0.427 0.427 0.427
4 Dy 0.573 0.927 0.073
5 Ho 0.823 0.323 0.177
6 Ho 0.926 0.926 0.926
7 Ho 0.823 0.677 0.323
8 Ho 0.177 0.823 0.323
9 Ho 0.177 0.177 0.177
10 Ho 0.323 0.823 0.677
11 Ho 0.074 0.426 0.574
12 Ho 0.323 0.177 0.823
13 Ho 0.677 0.323 0.823
14 Ho 0.677 0.677 0.677
15 Ho 0.574 0.074 0.426
16 Ho 0.426 0.574 0.074
17 Bi 0.749 0.625 0.000
18 Bi 0.875 0.000 0.249
19 Bi 0.000 0.749 0.625
20 Bi 0.125 0.500 0.251
21 Bi 0.251 0.125 0.500
22 Bi 0.249 0.875 0.000
23 Bi 0.000 0.249 0.875
24 Bi 0.375 0.500 0.751
25 Bi 0.500 0.251 0.125
26 Bi 0.625 0.000 0.749
27 Bi 0.751 0.375 0.500
28 Bi 0.500 0.751 0.375


Run Q
## DyHo3Bi3 (PBE)

Data for a geometry-optimized DyHo3Bi3 structure.

a b c (Å): 9.062 9.062 8.161
angles (deg): 56.28 56.28 60.00
Fractional positions:
1 Dy 0.334 0.334 0.999
2 Dy 0.666 0.666 0.001
3 Ho 0.335 0.827 0.756
4 Ho 0.827 0.082 0.756
5 Ho 0.082 0.335 0.756
6 Ho 0.918 0.665 0.244
7 Ho 0.173 0.918 0.244
8 Ho 0.665 0.173 0.244
9 Bi 0.305 0.523 0.255
10 Bi 0.917 0.305 0.255
11 Bi 0.523 0.917 0.255
12 Bi 0.477 0.083 0.745
13 Bi 0.083 0.695 0.745
14 Bi 0.695 0.477 0.745


The relative energies come out as run P 0; run Q 72, with values in meV/atom.


Run P
## Dy3HoBi2 (PBE)

Data for a geometry-optimized Dy3HoBi2 structure.

a b c (Å): 4.545 4.545 8.605
angles (deg): 90.00 90.00 90.00
Fractional positions:
1 Dy 0.500 0.000 0.346
2 Dy 0.000 0.500 0.654
3 Dy 0.000 0.000 0.000
4 Ho 0.500 0.500 0.000
5 Bi 0.500 0.000 0.716
6 Bi 0.000 0.500 0.284


Run Q
## Dy3HoBi2 (PBE)

Data for a geometry-optimized Dy3HoBi2 structure.

a b c (Å): 4.307 10.746 10.021
angles (deg): 125.71 90.00 101.56
Fractional positions:
1 Dy 0.312 0.624 0.516
2 Dy 0.945 0.889 0.559
3 Dy 0.641 0.282 0.803
4 Dy 0.359 0.718 0.197
5 Dy 0.055 0.111 0.441
6 Dy 0.688 0.376 0.484
7 Ho 0.890 0.780 0.887
8 Ho 0.110 0.220 0.113
9 Bi 0.493 0.986 0.828
10 Bi 0.507 0.014 0.172
11 Bi 0.748 0.495 0.214
12 Bi 0.252 0.505 0.786


The relative energies come out as run P 0; run Q 120, with values in meV/atom.


Run P
## DyHo3Bi2 (PBE)

Data for a geometry-optimized DyHo3Bi2 structure.

a b c (Å): 4.540 4.540 8.569
angles (deg): 90.00 90.00 90.00
Fractional positions:
1 Dy 0.500 0.500 0.000
2 Ho 0.500 0.000 0.344
3 Ho 0.000 0.500 0.656
4 Ho 0.000 0.000 0.000
5 Bi 0.500 0.000 0.714
6 Bi 0.000 0.500 0.286


Run Q
## DyHo3Bi2 (PBE)

Data for a geometry-optimized DyHo3Bi2 structure.

a b c (Å): 4.300 10.745 9.974
angles (deg): 125.61 90.00 101.54
Fractional positions:
1 Dy 0.890 0.780 0.888
2 Dy 0.110 0.220 0.112
3 Ho 0.312 0.624 0.515
4 Ho 0.944 0.888 0.558
5 Ho 0.640 0.280 0.801
6 Ho 0.360 0.720 0.199
7 Ho 0.056 0.112 0.442
8 Ho 0.688 0.376 0.485
9 Bi 0.492 0.984 0.826
10 Bi 0.508 0.016 0.174
11 Bi 0.748 0.496 0.213
12 Bi 0.252 0.504 0.787


The relative energies come out as run P 0; run Q 109, with values in meV/atom.


Run P
## DyHo3Bi4 (PBE)

Data for a geometry-optimized DyHo3Bi4 structure.

a b c (Å): 4.464 7.726 7.726
angles (deg): 109.47 90.00 90.00
Fractional positions:
1 Dy 0.500 0.000 0.000
2 Ho 0.000 0.000 0.500
3 Ho 0.500 0.500 0.500
4 Ho 0.000 0.500 0.000
5 Bi 0.000 0.251 0.251
6 Bi 0.500 0.750 0.250
7 Bi 0.000 0.749 0.749
8 Bi 0.500 0.250 0.750


Run Q
## DyHo3Bi4 (PBE)

Data for a geometry-optimized DyHo3Bi4 structure.

a b c (Å): 6.305 6.305 6.305
angles (deg): 90.00 90.00 90.00
Fractional positions:
1 Bi 0.500 0.000 0.000
2 Bi 0.000 0.500 0.000
3 Bi 0.000 0.000 0.500
4 Bi 0.500 0.500 0.500
5 Ho 0.000 0.500 0.500
6 Ho 0.500 0.000 0.500
7 Ho 0.500 0.500 0.000
8 Dy 0.000 0.000 0.000


The relative energies come out as run P 6; run Q 0, with values in meV/atom.


Run P
## Dy3HoBi3 (PBE)

Data for a geometry-optimized Dy3HoBi3 structure.

a b c (Å): 9.077 9.077 8.177
angles (deg): 56.29 56.29 60.00
Fractional positions:
1 Dy 0.336 0.826 0.755
2 Dy 0.826 0.083 0.755
3 Dy 0.083 0.336 0.755
4 Dy 0.917 0.664 0.245
5 Dy 0.174 0.917 0.245
6 Dy 0.664 0.174 0.245
7 Ho 0.333 0.333 0.000
8 Ho 0.667 0.667 0.000
9 Bi 0.306 0.523 0.253
10 Bi 0.917 0.306 0.253
11 Bi 0.523 0.917 0.253
12 Bi 0.477 0.083 0.747
13 Bi 0.083 0.694 0.747
14 Bi 0.694 0.477 0.747


Run Q
## Dy3HoBi3 (PBE)

Data for a geometry-optimized Dy3HoBi3 structure.

a b c (Å): 9.374 9.374 9.374
angles (deg): 90.00 90.00 90.00
Fractional positions:
1 Dy 0.823 0.323 0.177
2 Dy 0.927 0.927 0.927
3 Dy 0.823 0.677 0.323
4 Dy 0.177 0.823 0.323
5 Dy 0.177 0.177 0.177
6 Dy 0.323 0.823 0.677
7 Dy 0.073 0.427 0.573
8 Dy 0.323 0.177 0.823
9 Dy 0.677 0.323 0.823
10 Dy 0.677 0.677 0.677
11 Dy 0.573 0.073 0.427
12 Dy 0.427 0.573 0.073
13 Ho 0.073 0.573 0.927
14 Ho 0.927 0.073 0.573
15 Ho 0.427 0.427 0.427
16 Ho 0.573 0.927 0.073
17 Bi 0.751 0.625 0.000
18 Bi 0.875 0.000 0.251
19 Bi 0.000 0.751 0.625
20 Bi 0.125 0.500 0.249
21 Bi 0.249 0.125 0.500
22 Bi 0.251 0.875 0.000
23 Bi 0.000 0.251 0.875
24 Bi 0.375 0.500 0.749
25 Bi 0.500 0.249 0.125
26 Bi 0.625 0.000 0.751
27 Bi 0.749 0.375 0.500
28 Bi 0.500 0.749 0.375


The relative energies come out as run P 74; run Q 0, with values in meV/atom.